! HfCr3As (PBE, optimized geometry); values from VASP
&SYSTEM
  ibrav = 0, nat = 5, ntyp = 3
/
ATOMIC_SPECIES
Cr 52.00 Cr.upf
As 74.92 As.upf
Hf 178.49 Hf.upf
CELL_PARAMETERS angstrom
-1.271 -2.701 3.441
4.215 -1.716 0.210
1.172 3.242 2.978
ATOMIC_POSITIONS angstrom
Cr 2.107 -0.858 0.105
Cr 0.586 1.621 1.489
Cr -0.635 -1.351 1.720
As 2.058 -0.588 3.314
Hf 0.000 0.000 0.000
! Density of states at the Fermi level = 9.233 states/eV per cell
! Spin magnetization = 0.0 μB/f.u.
! Excess energy over the best structure of this formula in the dataset = 1381 meV per atom
! Formation energy = 10.2 eV/f.u.